No. 1
Crystalline La3TaCl6O4 at its relaxed geometry. Source: Alexandria via LeMat-Bulk, functional PBEsol.

a = 3.9763 Å, b = 12.7427 Å, c = 12.7427 Å
α = 120.00°, β = 90.00°, γ = 90.00°
With the nearest neighbours (Å) after each atom.
Element x y z (fractional)
La: 0.2500 0.6038 0.7184  2 O 2.37
La: 0.7500 0.3962 0.2816  2 O 2.37
La: 0.2500 0.1146 0.3962  2 O 2.37
La: 0.7500 0.8854 0.6038  2 O 2.37
La: 0.2500 0.2816 0.8854  2 O 2.37
La: 0.7500 0.7184 0.1146  2 O 2.37
Ta: 0.2500 0.6667 0.3333  5 O 1.89-1.99
Ta: 0.7500 0.3333 0.6667  5 O 1.89-1.99
Cl: 0.2500 0.5548 0.9281  4 O 3.00-3.35, 4 La 3.00-3.24
Cl: 0.7500 0.4452 0.0719  4 O 3.00-3.35, 4 La 3.00-3.24
Cl: 0.2500 0.3733 0.4452  4 O 3.00-3.35, 4 La 3.00-3.24
Cl: 0.7500 0.6267 0.5548  4 O 3.00-3.35, 4 La 3.00-3.24
Cl: 0.2500 0.0719 0.6267  4 O 3.00-3.35, 4 La 3.00-3.24
Cl: 0.7500 0.9281 0.3733  4 O 3.00-3.35, 4 La 3.00-3.24
Cl: 0.2500 0.8542 0.7527  3 La 2.91-3.00, 1 O 3.03
Cl: 0.7500 0.1458 0.2473  3 La 2.91-3.00, 1 O 3.03
Cl: 0.2500 0.8985 0.1458  3 La 2.91-3.00, 1 O 3.03
Cl: 0.7500 0.1015 0.8542  3 La 2.91-3.00, 1 O 3.03
Cl: 0.2500 0.2473 0.1015  3 La 2.91-3.00, 1 O 3.03
Cl: 0.7500 0.7527 0.8985  3 La 2.91-3.00, 1 O 3.03
O: 0.2500 0.8003 0.4928  1 Ta 1.89
O: 0.7500 0.1997 0.5072  1 Ta 1.89
O: 0.2500 0.6924 0.1997  1 Ta 1.89
O: 0.7500 0.3076 0.8003  1 Ta 1.89
O: 0.2500 0.5072 0.3076  1 Ta 1.89
O: 0.7500 0.4928 0.6924  1 Ta 1.89
O: 0.2500 0.3333 0.6667  2 Ta 1.99
O: 0.7500 0.6667 0.3333  2 Ta 1.99

Properties
symmetry	P6_3/m (176)
theoretical density	5.2	g cm⁻³
raw formation energy	-2791	meV per atom
total energy	-201.42	eV for the cell shown
calculated volume	19.970	Å³/atom



No. 2
Crystalline Mg3Sc at its relaxed geometry. Source: Alexandria via LeMat-Bulk, functional PBEsol.

a = 5.9067 Å, b = 5.9067 Å, c = 5.9067 Å
α = 90.00°, β = 90.00°, γ = 90.00°
With the nearest neighbours (Å) after each atom.
Element x y z (fractional)
Mg: 0.5000 0.0000 0.0000  2 Sc 2.95
Mg: 0.0000 0.5000 0.0000  2 Sc 2.95
Mg: 0.0000 0.0000 0.5000  2 Sc 2.95
Sc: 0.0000 0.0000 0.0000  6 Mg 2.95

Properties
formation energy	1.22	eV per atom
symmetry	Pm-3m (221)
theoretical density	0.9	g cm⁻³
total energy	-6.87	eV for the cell shown
calculated volume	51.520	Å³/atom



No. 3
Crystalline KTa2Br at its relaxed geometry. Source: Alexandria via LeMat-Bulk, functional PBEsol.

a = 3.0195 Å, b = 5.2643 Å, c = 5.2643 Å
α = 90.00°, β = 90.00°, γ = 90.00°
With the nearest neighbours (Å) after each atom.
Element x y z (fractional)
Br: 0.5000 0.5000 0.5000  2 Br 3.02, 8 Ta 3.03
K: 0.5000 0.0000 0.0000  2 K 3.02, 8 Ta 3.03
Ta: 0.0000 0.0000 0.5000  2 Ta 3.02, 4 Br 3.03, 4 K 3.03
Ta: 0.0000 0.5000 0.0000  2 Ta 3.02, 4 K 3.03, 4 Br 3.03

Properties
symmetry	P4/mmm (123)
theoretical density	9.5	g cm⁻³
raw formation energy	1922	meV per atom
total energy	-20.42	eV for the cell shown
calculated volume	20.920	Å³/atom



No. 4
Crystalline SrYMg2Te at its relaxed geometry. Source: Alexandria via LeMat-Bulk, functional PBEsol.

a = 5.4916 Å, b = 5.4916 Å, c = 5.9698 Å
α = 90.00°, β = 90.00°, γ = 90.00°
With the nearest neighbours (Å) after each atom.
Element x y z (fractional)
Y: 0.5000 0.5000 0.5000  4 Sr 3.88, 8 Mg 4.06
Sr: 0.0000 0.0000 0.5000  2 Te 2.98
Mg: 0.0000 0.5000 0.0000  2 Te 2.75
Mg: 0.5000 0.0000 0.0000  2 Te 2.75
Te: 0.0000 0.0000 0.0000  4 Mg 2.75, 2 Sr 2.98

Properties
symmetry	P4/mmm (123)
theoretical density	3.3	g cm⁻³
raw formation energy	181	meV per atom
total energy	-14.72	eV for the cell shown
calculated volume	36.006	Å³/atom



No. 5
Crystalline SiHg2Ru at its relaxed geometry. Source: Alexandria via LeMat-Bulk, functional PBEsol.

a = 3.8531 Å, b = 3.8531 Å, c = 5.2818 Å
α = 111.39°, β = 111.39°, γ = 90.00°
With the nearest neighbours (Å) after each atom.
Element x y z (fractional)
Hg: 0.7500 0.2500 0.5000  4 Hg 2.72, 4 Ru 2.97, 4 Si 2.97
Hg: 0.2500 0.7500 0.5000  4 Hg 2.72, 4 Ru 2.97, 4 Si 2.97
Ru: 0.5000 0.5000 0.0000  4 Si 2.72, 8 Hg 2.97
Si: 0.0000 0.0000 0.0000  4 Ru 2.72, 8 Hg 2.97

Properties
symmetry	I4/mmm (139)
theoretical density	13.1	g cm⁻³
raw formation energy	406	meV per atom
total energy	-15.43	eV for the cell shown
calculated volume	16.794	Å³/atom



No. 6
Crystalline NaTa2Ti at its relaxed geometry. Source: Alexandria via LeMat-Bulk, functional PBEsol.

a = 4.6334 Å, b = 4.6334 Å, c = 4.6334 Å
α = 60.00°, β = 60.00°, γ = 60.00°
With the nearest neighbours (Å) after each atom.
Element x y z (fractional)
Na: 0.0000 0.0000 0.0000  8 Ta 2.84
Ti: 0.5000 0.5000 0.5000  8 Ta 2.84
Ta: 0.2500 0.2500 0.2500  4 Na 2.84, 4 Ti 2.84
Ta: 0.7500 0.7500 0.7500  4 Ti 2.84, 4 Na 2.84

Properties
formation energy	0.95	eV per atom
symmetry	Fm-3m (225)
theoretical density	10.2	g cm⁻³
total energy	-31.01	eV for the cell shown
calculated volume	17.584	Å³/atom



No. 7
Crystalline CrSbSe2 at its relaxed geometry. Source: Alexandria via LeMat-Bulk, functional PBEsol.

a = 3.5358 Å, b = 3.5358 Å, c = 8.6694 Å
α = 78.23°, β = 78.23°, γ = 60.00°
With the nearest neighbours (Å) after each atom.
Element x y z (fractional)
Sb: 0.0000 0.0000 0.0000  2 Se 2.82
Se: 0.8883 0.8883 0.3352  3 Cr 2.47
Se: 0.1117 0.1117 0.6648  3 Cr 2.47
Cr: 0.5000 0.5000 0.5000  6 Se 2.47

Properties
symmetry	R-3m (166)
theoretical density	6.0	g cm⁻³
raw formation energy	-280	meV per atom
total energy	-23.62	eV for the cell shown
calculated volume	22.806	Å³/atom



No. 8
Crystalline Fe2Ir at its relaxed geometry. Source: Alexandria via LeMat-Bulk, functional PBEsol.

a = 3.6550 Å, b = 5.0793 Å, c = 7.6595 Å
α = 90.00°, β = 90.00°, γ = 90.00°
With the nearest neighbours (Å) after each atom.
Element x y z (fractional)
Fe: 0.7500 0.8760 0.7525  5 Ir 2.53-2.58, 7 Fe 2.54-2.58
Fe: 0.2500 0.6240 0.2525  5 Ir 2.53-2.58, 7 Fe 2.54-2.58
Fe: 0.7500 0.3760 0.7475  5 Ir 2.53-2.58, 7 Fe 2.54-2.58
Fe: 0.2500 0.1240 0.2475  5 Ir 2.53-2.58, 7 Fe 2.54-2.58
Fe: 0.7500 0.8769 0.4201  5 Ir 2.49-2.59, 7 Fe 2.53-2.58
Fe: 0.2500 0.6231 0.9201  5 Ir 2.49-2.59, 7 Fe 2.53-2.58
Fe: 0.7500 0.3769 0.0799  5 Ir 2.49-2.59, 7 Fe 2.53-2.58
Fe: 0.2500 0.1231 0.5799  5 Ir 2.49-2.59, 7 Fe 2.53-2.58
Ir: 0.7500 0.3668 0.4102  10 Fe 2.49-2.59, 2 Ir 2.66
Ir: 0.2500 0.1332 0.9102  10 Fe 2.49-2.59, 2 Ir 2.66
Ir: 0.7500 0.8668 0.0898  10 Fe 2.49-2.59, 2 Ir 2.66
Ir: 0.2500 0.6332 0.5898  10 Fe 2.49-2.59, 2 Ir 2.66

Properties
formation energy	-0.04	eV per atom
symmetry	Pnma (62)
theoretical density	14.2	g cm⁻³
total energy	-111.49	eV for the cell shown
calculated volume	11.850	Å³/atom



Number 7 is which compound? CrSbSe2